This record from Alexandria describes a relaxed structure of MnCu6O8. The functional is GGA+U.

Properties
The value obtained for the total energy is -322.035 eV per cell. The volume comes out at 12.4 Å³ per atom.

a = 9.056 Å, b = 9.056 Å, c = 9.056 Å
α = 90.00°, β = 90.00°, γ = 90.00°
Space group Fm-3m (No. 225)
One atom of each set of equivalent atoms:
Mn1 0.000 0.000 0.000 [4 per cell]
Cu1 0.000 0.250 0.250 [24 per cell]
O1 0.137 0.137 0.137 [32 per cell]